## a
The following is a PBE calculation of a relaxed PmEr3Tm2 crystal, from Alexandria.

a b c (Å): 3.480 10.127 11.533
angles (deg): 108.23 98.68 90.00
Atoms (fractional coordinates):
Pm 0.316 0.959 0.632
Pm 0.684 0.041 0.368
Er 0.304 0.285 0.609
Er 0.068 0.763 0.136
Er 0.441 0.558 0.881
Er 0.696 0.715 0.391
Er 0.559 0.442 0.119
Er 0.932 0.237 0.864
Tm 0.307 0.626 0.614
Tm 0.693 0.374 0.386
Tm 0.931 0.859 0.862
Tm 0.069 0.141 0.138

Summary:
Volume: 381 Å³/cell
Total magnetization: 0.0 Bohr magnetons per cell


## b
The following is a PBE calculation of a relaxed PmEr3Tm2 crystal, from Alexandria.

a b c (Å): 7.100 10.078 7.093
angles (deg): 79.92 119.91 121.86
Atoms (fractional coordinates):
Pm 0.251 0.001 0.250
Pm 0.749 0.999 0.750
Er 0.250 0.000 0.750
Er 0.750 0.000 0.250
Er 0.803 0.664 0.861
Er 0.196 0.336 0.639
Er 0.804 0.664 0.361
Er 0.197 0.336 0.139
Tm 0.303 0.664 0.360
Tm 0.303 0.665 0.861
Tm 0.697 0.335 0.139
Tm 0.697 0.336 0.640

Summary:
Volume: 371 Å³/cell
Total magnetization: 0.0 Bohr magnetons per cell


Q: Which of them is the least stable? A: a.


## a
The following is a PBE calculation of a relaxed PmEr5Tm5 crystal, from Alexandria.

a b c (Å): 5.829 9.887 6.859
angles (deg): 111.51 90.00 107.15
Site moments in Bohr magnetons follow the coordinates.
Atoms (fractional coordinates):
Pm 0.000 0.000 0.000  0.17
Er 0.820 0.640 0.067  0.01
Er 0.821 0.641 0.576  0.02
Er 0.500 0.000 0.000  0.24
Er 0.179 0.359 0.424  0.02
Er 0.180 0.360 0.933  0.01
Tm 0.669 0.339 0.163  0.03
Tm 0.625 0.249 0.617  0.02
Tm 0.000 0.000 0.500  0.03
Tm 0.375 0.751 0.383  0.02
Tm 0.331 0.661 0.837  0.03

Summary:
Volume: 349 Å³/cell
Total magnetization: 0.7 Bohr magnetons per cell


## b
The following is a PBE calculation of a relaxed PmEr5Tm5 crystal, from Alexandria.

a b c (Å): 8.378 8.378 8.271
angles (deg): 73.48 73.48 40.32
Site moments in Bohr magnetons follow the coordinates.
Atoms (fractional coordinates):
Pm 0.000 0.000 0.000  0.15
Er 0.762 0.762 0.830  0.01
Er 0.801 0.801 0.370  0.01
Er 0.500 0.500 0.000  0.19
Er 0.199 0.199 0.630  0.01
Er 0.238 0.238 0.170  0.01
Tm 0.595 0.595 0.620  0.01
Tm 0.618 0.618 0.234  0.00
Tm 0.000 0.000 0.500  0.00
Tm 0.382 0.382 0.766  0.00
Tm 0.405 0.405 0.380  0.01

Summary:
Volume: 358 Å³/cell
Total magnetization: 0.4 Bohr magnetons per cell


Q: Which of them is the least stable? A: b.


## a
The following is a PBE calculation of a relaxed Pm4ErTm2 crystal, from Alexandria.

a b c (Å): 6.219 6.594 11.519
angles (deg): 90.00 104.83 90.00
Atoms (fractional coordinates):
Pm 0.648 0.510 0.285
Pm 0.045 0.750 0.866
Pm 0.955 0.250 0.134
Pm 0.648 0.990 0.285
Pm 0.850 0.250 0.549
Pm 0.352 0.010 0.715
Pm 0.352 0.490 0.715
Pm 0.150 0.750 0.451
Er 0.151 0.750 0.165
Er 0.849 0.250 0.835
Tm 0.611 0.750 0.995
Tm 0.389 0.250 0.005
Tm 0.289 0.250 0.422
Tm 0.711 0.750 0.578

Summary:
Volume: 457 Å³/cell
Total magnetization: 0.0 Bohr magnetons per cell


## b
The following is a PBE calculation of a relaxed Pm4ErTm2 crystal, from Alexandria.

a b c (Å): 12.466 12.466 6.756
angles (deg): 97.03 97.03 150.15
Atoms (fractional coordinates):
Pm 0.710 0.173 0.859
Pm 0.173 0.710 0.359
Pm 0.186 0.795 0.894
Pm 0.795 0.186 0.394
Pm 0.042 0.151 0.606
Pm 0.564 0.601 0.142
Pm 0.601 0.564 0.642
Pm 0.151 0.042 0.106
Er 0.423 0.673 0.500
Er 0.673 0.423 0.000
Tm 0.620 0.302 0.450
Tm 0.920 0.102 0.050
Tm 0.102 0.920 0.550
Tm 0.302 0.620 0.950

Summary:
Volume: 460 Å³/cell
Total magnetization: 0.0 Bohr magnetons per cell


Q: Which of them is the least stable? A: a.


## a
The following is a PBE calculation of a relaxed Pm7Er12Tm crystal, from Alexandria.

a b c (Å): 8.731 8.731 8.731
angles (deg): 85.88 85.88 85.88
Atoms (fractional coordinates):
Pm 0.845 0.601 0.922
Pm 0.399 0.078 0.155
Pm 0.078 0.155 0.399
Pm 0.500 0.500 0.500
Pm 0.922 0.845 0.601
Pm 0.601 0.922 0.845
Pm 0.155 0.399 0.078
Er 0.855 0.253 0.729
Er 0.747 0.271 0.145
Er 0.617 0.135 0.497
Er 0.865 0.503 0.383
Er 0.271 0.145 0.747
Er 0.503 0.383 0.865
Er 0.497 0.617 0.135
Er 0.729 0.855 0.253
Er 0.135 0.497 0.617
Er 0.383 0.865 0.503
Er 0.253 0.729 0.855
Er 0.145 0.747 0.271
Tm 0.000 0.000 0.000

Summary:
Volume: 661 Å³/cell
Total magnetization: 0.0 Bohr magnetons per cell


## b
The following is a PBE calculation of a relaxed Pm7Er12Tm crystal, from Alexandria.

a b c (Å): 9.712 9.712 9.712
angles (deg): 109.47 109.47 109.47
Atoms (fractional coordinates):
Pm 0.500 0.500 0.000
Pm 0.000 0.500 0.500
Pm 0.500 0.000 0.500
Pm 0.500 0.500 0.500
Pm 0.000 0.000 0.500
Pm 0.500 0.000 0.000
Pm 0.000 0.500 0.000
Er 0.509 0.755 0.754
Er 0.000 0.755 0.246
Er 0.491 0.245 0.246
Er 0.000 0.245 0.754
Er 0.754 0.000 0.245
Er 0.754 0.509 0.755
Er 0.246 0.000 0.755
Er 0.246 0.491 0.245
Er 0.755 0.754 0.509
Er 0.245 0.246 0.491
Er 0.755 0.246 0.000
Er 0.245 0.754 0.000
Tm 0.000 0.000 0.000

Summary:
Volume: 705 Å³/cell
Total magnetization: 0.0 Bohr magnetons per cell


Q: Which of them is the least stable? A: b.


## a
The following is a PBE calculation of a relaxed Pm2Er3Tm5 crystal, from Alexandria.

a b c (Å): 9.356 9.397 11.027
angles (deg): 125.70 125.62 68.22
Atoms (fractional coordinates):
Pm 0.777 0.015 0.745
Pm 0.223 0.985 0.255
Pm 0.468 0.730 0.745
Pm 0.532 0.270 0.255
Er 0.228 0.978 0.956
Er 0.772 0.022 0.044
Er 0.728 0.465 0.244
Er 0.272 0.535 0.756
Er 0.016 0.779 0.244
Er 0.984 0.221 0.756
Tm 0.277 0.527 0.053
Tm 0.723 0.473 0.947
Tm 0.019 0.769 0.537
Tm 0.523 0.273 0.547
Tm 0.981 0.231 0.463
Tm 0.477 0.727 0.453
Tm 0.870 0.614 0.761
Tm 0.130 0.386 0.239
Tm 0.391 0.147 0.761
Tm 0.609 0.853 0.239

Summary:
Volume: 639 Å³/cell
Total magnetization: 0.0 Bohr magnetons per cell


## b
The following is a PBE calculation of a relaxed Pm2Er3Tm5 crystal, from Alexandria.

a b c (Å): 10.793 9.772 9.772
angles (deg): 56.84 56.48 56.48
Atoms (fractional coordinates):
Pm 0.121 0.771 0.988
Pm 0.879 0.229 0.012
Pm 0.621 0.988 0.771
Pm 0.379 0.012 0.229
Er 0.250 0.000 0.000
Er 0.750 0.000 0.000
Er 0.371 0.374 0.885
Er 0.629 0.626 0.115
Er 0.871 0.885 0.374
Er 0.129 0.115 0.626
Tm 0.250 0.500 0.500
Tm 0.750 0.500 0.500
Tm 0.500 0.750 0.750
Tm 0.000 0.250 0.250
Tm 0.500 0.250 0.250
Tm 0.000 0.750 0.750
Tm 0.122 0.459 0.297
Tm 0.878 0.541 0.703
Tm 0.622 0.297 0.459
Tm 0.378 0.703 0.541

Summary:
Volume: 671 Å³/cell
Total magnetization: 0.0 Bohr magnetons per cell


Q: Which of them is the least stable? A: b.


## a
The following is a PBE calculation of a relaxed Pm2ErTm7 crystal, from Alexandria.

a b c (Å): 3.485 14.610 14.610
angles (deg): 154.67 90.00 90.00
Atoms (fractional coordinates):
Pm 0.500 0.709 0.291
Pm 0.500 0.291 0.709
Er 0.000 0.000 0.000
Tm 0.000 0.816 0.184
Tm 0.000 0.184 0.816
Tm 0.500 0.148 0.343
Tm 0.500 0.852 0.657
Tm 0.500 0.343 0.148
Tm 0.500 0.657 0.852
Tm 0.500 0.500 0.500

Summary:
Volume: 318 Å³/cell
Total magnetization: 0.0 Bohr magnetons per cell


## b
The following is a PBE calculation of a relaxed Pm2ErTm7 crystal, from Alexandria.

a b c (Å): 4.969 8.616 9.317
angles (deg): 107.99 105.44 54.89
Atoms (fractional coordinates):
Pm 0.598 0.601 0.398
Pm 0.402 0.399 0.602
Er 0.000 0.000 0.000
Tm 0.900 0.901 0.602
Tm 0.100 0.099 0.398
Tm 0.700 0.702 0.803
Tm 0.300 0.298 0.197
Tm 0.798 0.801 0.199
Tm 0.202 0.199 0.801
Tm 0.500 0.500 0.000

Summary:
Volume: 308 Å³/cell
Total magnetization: 0.0 Bohr magnetons per cell


Q: Which of them is the least stable? A: a.


## a
The following is a PBE calculation of a relaxed Pm12Er6Tm crystal, from Alexandria.

a b c (Å): 8.616 8.616 8.616
angles (deg): 88.89 88.89 88.89
Atoms (fractional coordinates):
Pm 0.781 0.537 0.434
Pm 0.434 0.781 0.537
Pm 0.537 0.434 0.781
Pm 0.219 0.463 0.566
Pm 0.566 0.219 0.463
Pm 0.463 0.566 0.219
Pm 0.017 0.194 0.362
Pm 0.806 0.638 0.983
Pm 0.638 0.983 0.806
Pm 0.983 0.806 0.638
Pm 0.194 0.362 0.017
Pm 0.362 0.017 0.194
Er 0.741 0.901 0.297
Er 0.703 0.259 0.099
Er 0.099 0.703 0.259
Er 0.259 0.099 0.703
Er 0.297 0.741 0.901
Er 0.901 0.297 0.741
Tm 0.000 0.000 0.000

Summary:
Volume: 639 Å³/cell
Total magnetization: 0.0 Bohr magnetons per cell


## b
The following is a PBE calculation of a relaxed Pm12Er6Tm crystal, from Alexandria.

a b c (Å): 9.507 9.507 9.507
angles (deg): 110.89 110.89 110.89
Atoms (fractional coordinates):
Pm 0.371 0.056 0.580
Pm 0.056 0.580 0.371
Pm 0.580 0.371 0.056
Pm 0.629 0.944 0.420
Pm 0.944 0.420 0.629
Pm 0.420 0.629 0.944
Pm 0.104 0.157 0.737
Pm 0.263 0.896 0.843
Pm 0.843 0.263 0.896
Pm 0.896 0.843 0.263
Pm 0.737 0.104 0.157
Pm 0.157 0.737 0.104
Er 0.213 0.317 0.472
Er 0.683 0.528 0.787
Er 0.528 0.787 0.683
Er 0.787 0.683 0.528
Er 0.317 0.472 0.213
Er 0.472 0.213 0.317
Tm 0.000 0.000 0.000

Summary:
Volume: 624 Å³/cell
Total magnetization: 0.0 Bohr magnetons per cell


Q: Which of them is the least stable? A: a.


## a
The following is a PBE calculation of a relaxed PmEr3Tm3 crystal, from Alexandria.

a b c (Å): 8.716 8.716 8.716
angles (deg): 58.55 58.55 58.55
Atoms (fractional coordinates):
Pm 0.349 0.349 0.349
Pm 0.651 0.651 0.651
Er 0.728 0.570 0.063
Er 0.063 0.728 0.570
Er 0.570 0.063 0.728
Er 0.430 0.937 0.272
Er 0.937 0.272 0.430
Er 0.272 0.430 0.937
Tm 0.715 0.173 0.935
Tm 0.173 0.935 0.715
Tm 0.935 0.715 0.173
Tm 0.065 0.285 0.827
Tm 0.827 0.065 0.285
Tm 0.285 0.827 0.065

Summary:
Volume: 453 Å³/cell
Total magnetization: 0.0 Bohr magnetons per cell


## b
The following is a PBE calculation of a relaxed PmEr3Tm3 crystal, from Alexandria.

a b c (Å): 5.597 9.485 9.485
angles (deg): 120.00 90.00 90.00
Atoms (fractional coordinates):
Pm 0.250 0.667 0.333
Pm 0.750 0.333 0.667
Er 0.250 0.811 0.763
Er 0.250 0.237 0.048
Er 0.250 0.952 0.189
Er 0.750 0.189 0.237
Er 0.750 0.763 0.952
Er 0.750 0.048 0.811
Tm 0.750 0.619 0.523
Tm 0.750 0.477 0.096
Tm 0.750 0.904 0.381
Tm 0.250 0.381 0.477
Tm 0.250 0.523 0.904
Tm 0.250 0.096 0.619

Summary:
Volume: 436 Å³/cell
Total magnetization: 0.0 Bohr magnetons per cell


Q: Which of them is the least stable? A: a.